Entry 1:
ThTlCuSe3, optimized geometry, DFT PBE; raw formation energy = -1081 meV/atom
1.0
4.202 0.000 0.000
0.000 10.934 0.000
-2.099 0.000 7.408
Th Tl Cu Se
2 2 2 6
Cartesian
0.000 0.000 0.000 Th
0.000 5.467 0.000 Th
0.000 2.733 3.677 Tl
2.103 8.200 3.732 Tl
0.008 8.200 6.978 Cu
2.095 2.733 0.431 Cu
0.002 8.200 1.016 Se
0.002 6.210 5.519 Se
0.002 10.191 5.519 Se
2.101 0.743 1.889 Se
2.101 4.724 1.889 Se
2.100 2.733 6.392 Se

***

Entry 2:
Ti2CuSe4, optimized geometry, DFT PBE; raw formation energy = -936 meV/atom
1.0
0.000 5.286 5.286
5.286 0.000 5.286
5.286 5.286 0.000
Ti Cu Se
4 2 8
Cartesian
0.000 0.000 0.000 Ti
2.643 2.643 0.000 Ti
2.643 0.000 2.643 Ti
0.000 2.643 2.643 Ti
3.964 3.964 3.964 Cu
6.607 6.607 6.607 Cu
7.978 5.236 5.236 Se
2.593 2.593 2.593 Se
5.336 5.336 2.593 Se
5.336 2.593 5.336 Se
5.236 7.978 5.236 Se
5.236 5.236 7.978 Se
7.978 7.978 7.978 Se
2.593 5.336 5.336 Se

***

Entry 3:
TiCu3Se4, optimized geometry, DFT PBE; raw formation energy = -451 meV/atom
1.0
-2.792 2.792 5.651
2.792 -2.792 5.651
2.792 2.792 -5.651
Ti Cu Se
1 3 4
Cartesian
0.000 0.000 0.000 Ti
2.792 0.000 2.825 Cu
0.000 0.000 5.651 Cu
0.000 2.792 2.825 Cu
1.397 1.397 -1.416 Se
1.396 -1.396 7.067 Se
1.396 1.396 4.235 Se
-1.396 1.396 7.067 Se

***

Entry 4:
Ti2CuSe5, optimized geometry, DFT PBE; raw formation energy = -690 meV/atom
1.0
2.552 -6.049 0.000
2.552 6.049 0.000
0.000 0.000 12.065
Ti Cu Se
4 2 10
Cartesian
2.552 4.047 6.719 Ti
2.552 4.047 11.378 Ti
2.552 -4.047 0.687 Ti
2.552 -4.047 5.346 Ti
2.552 3.739 3.016 Cu
2.552 -3.739 9.049 Cu
2.552 5.572 1.329 Se
2.552 5.572 4.703 Se
2.552 2.885 9.049 Se
2.552 2.119 0.964 Se
2.552 2.119 5.069 Se
2.552 -2.119 6.996 Se
2.552 -2.119 11.101 Se
2.552 -2.885 3.016 Se
2.552 -5.572 7.362 Se
2.552 -5.572 10.736 Se

***

Entry 5:
TiCu2Se4, optimized geometry, DFT PBE; raw formation energy = -427 meV/atom
1.0
1.772 -6.297 0.000
1.772 6.297 0.000
0.000 0.000 11.722
Ti Cu Se
2 4 8
Cartesian
1.772 4.903 8.791 Ti
1.772 -4.903 2.930 Ti
1.772 1.652 6.684 Cu
1.772 1.652 10.899 Cu
1.772 -1.652 0.823 Cu
1.772 -1.652 5.038 Cu
0.000 0.000 0.000 Se
0.000 0.000 5.861 Se
1.772 2.634 1.400 Se
1.772 2.634 4.461 Se
1.772 0.527 8.791 Se
1.772 -0.527 2.930 Se
1.772 -2.634 7.261 Se
1.772 -2.634 10.322 Se

***

Entry 6:
Ti3CuSe, optimized geometry, DFT PBE; raw formation energy = 271 meV/atom; ΔE to the lowest computed polymorph = 0 meV per atom
1.0
4.641 0.000 0.000
0.000 4.641 0.000
0.000 0.000 4.641
Ti Cu Se
3 1 1
Cartesian
0.000 0.000 2.321 Ti
0.000 2.321 0.000 Ti
2.321 0.000 0.000 Ti
2.321 2.321 2.321 Cu
0.000 0.000 0.000 Se

***

Entry 7:
TiCuSe, optimized geometry, DFT PBE; raw formation energy = -375 meV/atom
1.0
3.612 0.000 0.000
1.803 3.130 0.000
1.775 0.987 10.462
Ti Cu Se
2 2 2
Cartesian
0.900 0.522 2.201 Ti
6.290 3.595 8.261 Ti
2.679 1.509 9.840 Cu
4.511 2.608 0.622 Cu
2.706 1.566 3.607 Se
4.484 2.551 6.855 Se

***

Entry 8:
TiCu3Se, optimized geometry, DFT PBE; raw formation energy = 1227 meV/atom; ΔE to the lowest computed polymorph = 491 meV per atom
1.0
4.672 0.000 0.000
0.000 4.672 0.000
0.000 0.000 4.672
Ti Cu Se
1 3 1
Cartesian
0.000 0.000 0.000 Ti
0.000 0.000 2.336 Cu
0.000 2.336 0.000 Cu
2.336 0.000 0.000 Cu
2.336 2.336 2.336 Se

***

Entry 9:
TiCuSe4, optimized geometry, DFT PBE; raw formation energy = -431 meV/atom
1.0
6.138 -3.985 0.000
6.138 3.985 0.000
-2.056 0.000 5.879
Ti Cu Se
2 2 8
Cartesian
4.596 2.543 4.410 Ti
5.624 -2.543 1.470 Ti
3.069 1.992 0.000 Cu
2.041 -1.992 2.940 Cu
4.434 2.988 1.767 Se
6.813 2.988 1.173 Se
2.781 1.034 4.564 Se
3.809 -1.034 1.625 Se
6.410 1.034 4.255 Se
7.438 -1.034 1.315 Se
3.407 -2.988 4.707 Se
5.785 -2.988 4.113 Se

***

Entry 10:
TiCu3Se, optimized geometry, DFT PBE; raw formation energy = 736 meV/atom; ΔE to the lowest computed polymorph = 0 meV per atom
1.0
4.498 0.000 0.000
0.000 4.498 0.000
0.000 0.000 4.498
Ti Cu Se
1 3 1
Cartesian
0.000 0.000 0.000 Ti
0.000 2.249 2.249 Cu
2.249 0.000 2.249 Cu
2.249 2.249 0.000 Cu
2.249 2.249 2.249 Se